# 1
! PBE-GGA MnCrIr2, relaxed; values from VASP
! offset from the most stable computed form	253.1	meV/atom
! DFT formation energy	-0.035	eV per atom
! SG	P4/mmm, No. 123
&SYSTEM
  ibrav = 0, nat = 4, ntyp = 3
/
ATOMIC_SPECIES
Cr 52.00 Cr.upf
Ir 192.22 Ir.upf
Mn 54.94 Mn.upf
ATOMIC_POSITIONS crystal
Cr 0.000 0.500 0.500
Ir 0.000 0.000 0.000
Ir 0.500 0.500 0.000
Mn 0.500 0.000 0.500
CELL_PARAMETERS angstrom
4.386 0.000 0.000
0.000 4.386 0.000
0.000 0.000 2.928

# 2
! PBE-GGA Mn2CrIr, relaxed; values from VASP
! DFT formation energy	0.133	eV per atom
! SG	R-3m, No. 166
&SYSTEM
  ibrav = 0, nat = 4, ntyp = 3
/
ATOMIC_SPECIES
Cr 52.00 Cr.upf
Ir 192.22 Ir.upf
Mn 54.94 Mn.upf
ATOMIC_POSITIONS crystal
Cr 0.250 0.250 0.250
Ir 0.750 0.750 0.750
Mn 0.997 0.997 0.997
Mn 0.503 0.503 0.503
CELL_PARAMETERS angstrom
-1.024 5.278 -6.441
-2.455 3.263 -7.330
-3.534 5.028 -5.712

# 3
! PBE-GGA MnCrIr2, relaxed; values from VASP
! offset from the most stable computed form	109.2	meV/atom
! DFT formation energy	-0.179	eV per atom
! SG	Pmmm, No. 47
&SYSTEM
  ibrav = 0, nat = 4, ntyp = 3
/
ATOMIC_SPECIES
Cr 52.00 Cr.upf
Ir 192.22 Ir.upf
Mn 54.94 Mn.upf
ATOMIC_POSITIONS crystal
Cr 0.500 0.500 0.750
Ir 0.000 0.000 0.998
Ir 0.000 0.000 0.502
Mn 0.500 0.500 0.250
CELL_PARAMETERS angstrom
-0.551 -2.475 -0.923
3.292 -1.143 1.100
-2.071 -1.333 4.811

# 4
! PBE-GGA Mn2CrIr, relaxed; values from VASP
! DFT formation energy	-0.045	eV per atom
! SG	Cmmm, No. 65
&SYSTEM
  ibrav = 0, nat = 4, ntyp = 3
/
ATOMIC_SPECIES
Cr 52.00 Cr.upf
Ir 192.22 Ir.upf
Mn 54.94 Mn.upf
ATOMIC_POSITIONS crystal
Cr 0.500 0.000 0.500
Ir 0.000 0.500 0.500
Mn 0.000 0.000 0.000
Mn 0.500 0.500 0.000
CELL_PARAMETERS angstrom
4.446 0.094 0.000
-1.383 4.227 0.000
0.000 0.000 2.701

# 5
! PBE-GGA Mn2CrIr, relaxed; values from VASP
! DFT formation energy	-0.020	eV per atom
! SG	Pmmm, No. 47
&SYSTEM
  ibrav = 0, nat = 4, ntyp = 3
/
ATOMIC_SPECIES
Cr 52.00 Cr.upf
Ir 192.22 Ir.upf
Mn 54.94 Mn.upf
ATOMIC_POSITIONS crystal
Cr 0.500 0.500 0.250
Ir 0.500 0.500 0.750
Mn 0.000 0.000 0.005
Mn 0.000 0.000 0.495
CELL_PARAMETERS angstrom
-1.622 -2.065 0.420
0.471 -1.062 -3.402
4.097 -2.918 1.478

# 6
! PBE-GGA MnCrIr2, relaxed; values from VASP
! offset from the most stable computed form	474.3	meV/atom
! DFT formation energy	0.186	eV per atom
! SG	F-43m, No. 216
&SYSTEM
  ibrav = 0, nat = 4, ntyp = 3
/
ATOMIC_SPECIES
Cr 52.00 Cr.upf
Ir 192.22 Ir.upf
Mn 54.94 Mn.upf
ATOMIC_POSITIONS crystal
Cr 0.500 0.500 0.500
Ir 0.000 0.000 0.000
Ir 0.250 0.250 0.250
Mn 0.750 0.750 0.750
CELL_PARAMETERS angstrom
-3.087 0.624 2.940
0.981 -0.038 4.195
-0.104 3.660 2.270

# 7
! PBE-GGA Mn4CrIr, relaxed; values from VASP
! DFT formation energy	0.016	eV per atom
! SG	F-43m, No. 216
&SYSTEM
  ibrav = 0, nat = 6, ntyp = 3
/
ATOMIC_SPECIES
Mn 54.94 Mn.upf
Cr 52.00 Cr.upf
Ir 192.22 Ir.upf
ATOMIC_POSITIONS crystal
Mn 0.625 0.625 0.124
Mn 0.625 0.124 0.625
Mn 0.625 0.625 0.625
Mn 0.124 0.625 0.625
Cr 0.250 0.250 0.250
Ir 0.000 0.000 0.000
CELL_PARAMETERS angstrom
0.000 3.276 3.276
3.276 0.000 3.276
3.276 3.276 0.000

# 8
! PBE-GGA MnCr5Ir6, relaxed; values from VASP
! DFT formation energy	-0.203	eV per atom
! SG	Immm, No. 71
&SYSTEM
  ibrav = 0, nat = 12, ntyp = 3
/
ATOMIC_SPECIES
Cr 52.00 Cr.upf
Mn 54.94 Mn.upf
Ir 192.22 Ir.upf
ATOMIC_POSITIONS crystal
Cr 0.669 0.169 0.338
Cr 0.335 0.335 0.670
Cr 0.000 0.500 0.000
Cr 0.665 0.665 0.330
Cr 0.331 0.831 0.662
Mn 0.000 0.000 0.000
Ir 0.833 0.583 0.667
Ir 0.833 0.084 0.667
Ir 0.500 0.747 0.000
Ir 0.500 0.253 0.000
Ir 0.167 0.916 0.333
Ir 0.167 0.417 0.333
CELL_PARAMETERS angstrom
3.640 0.013 -1.061
-1.011 6.501 -3.387
0.078 -0.533 7.036

# 9
! PBE-GGA MnCrIr2, relaxed; values from VASP
! offset from the most stable computed form	0.0	meV/atom
! DFT formation energy	-0.289	eV per atom
! SG	P4/mmm, No. 123
&SYSTEM
  ibrav = 0, nat = 4, ntyp = 3
/
ATOMIC_SPECIES
Cr 52.00 Cr.upf
Ir 192.22 Ir.upf
Mn 54.94 Mn.upf
ATOMIC_POSITIONS crystal
Cr 0.500 0.000 0.500
Ir 0.000 0.000 0.000
Ir 0.000 0.500 0.500
Mn 0.500 0.500 0.000
CELL_PARAMETERS angstrom
-3.224 1.632 0.722
-0.453 -2.248 3.056
1.794 2.585 2.168

# 10
! PBE-GGA Mn2CrIr5, relaxed; values from VASP
! DFT formation energy	-0.213	eV per atom
! SG	Pbam, No. 55
&SYSTEM
  ibrav = 0, nat = 16, ntyp = 3
/
ATOMIC_SPECIES
Mn 54.94 Mn.upf
Cr 52.00 Cr.upf
Ir 192.22 Ir.upf
ATOMIC_POSITIONS crystal
Mn 0.500 0.254 0.375
Mn 0.500 0.746 0.625
Mn 0.500 0.246 0.875
Mn 0.500 0.754 0.125
Cr 0.000 0.000 0.500
Cr 0.000 0.500 0.000
Ir 0.500 0.261 0.122
Ir 0.500 0.739 0.878
Ir 0.500 0.761 0.378
Ir 0.500 0.239 0.622
Ir 0.000 0.990 0.746
Ir 0.000 0.010 0.254
Ir 0.000 0.490 0.754
Ir 0.000 0.510 0.246
Ir 0.000 0.500 0.500
Ir 0.000 0.000 0.000
CELL_PARAMETERS angstrom
3.822 0.000 0.000
0.000 5.363 0.000
0.000 0.000 10.708

# 11
! PBE-GGA Mn2CrIr, relaxed; values from VASP
! DFT formation energy	0.206	eV per atom
! SG	Fm-3m, No. 225
&SYSTEM
  ibrav = 0, nat = 4, ntyp = 3
/
ATOMIC_SPECIES
Cr 52.00 Cr.upf
Ir 192.22 Ir.upf
Mn 54.94 Mn.upf
ATOMIC_POSITIONS crystal
Cr 0.000 0.000 0.000
Ir 0.500 0.500 0.500
Mn 0.250 0.250 0.250
Mn 0.750 0.750 0.750
CELL_PARAMETERS angstrom
0.563 -3.011 -2.720
1.981 -3.413 1.102
-2.053 -3.524 0.391

# 12
! PBE-GGA Mn3CrIr, relaxed; values from VASP
! offset from the most stable computed form	0.0	meV/atom
! DFT formation energy	1.211	eV per atom
! SG	Pm-3m, No. 221
&SYSTEM
  ibrav = 0, nat = 5, ntyp = 3
/
ATOMIC_SPECIES
Cr 52.00 Cr.upf
Ir 192.22 Ir.upf
Mn 54.94 Mn.upf
ATOMIC_POSITIONS crystal
Cr 0.000 0.000 0.000
Ir 0.500 0.500 0.500
Mn 0.000 0.500 0.000
Mn 0.000 0.000 0.500
Mn 0.500 0.000 0.000
CELL_PARAMETERS angstrom
4.084 0.000 0.000
0.000 4.084 0.000
0.000 0.000 4.084